Record 1
## CaSb3Br (GGA-PBEsol)

Data for a relaxed CaSb3Br crystal.

a = 5.6470 Å, b = 5.6470 Å, c = 5.6470 Å
α = 90.00°, β = 90.00°, γ = 90.00°
Positions (direct):
Sb  0.0000  0.0000  0.5000
Ca  0.0000  0.0000  0.0000
Sb  0.0000  0.5000  0.0000
Sb  0.5000  0.0000  0.0000
Br  0.5000  0.5000  0.5000

Values from the calculation:
- E_form (uncorrected) (eV per atom) = 0.60
- space group = Pm-3m
- E_tot (eV per atom) = -2.93

***

Record 2
## Ca2SbBr (GGA-PBEsol)

Data for a relaxed Ca2SbBr crystal.

a = 4.4260 Å, b = 4.4260 Å, c = 6.0567 Å
α = 90.00°, β = 90.00°, γ = 90.00°
Positions (direct):
Ca  0.0000  0.0000  0.5000
Ca  0.5000  0.5000  0.0000
Br  0.5000  0.5000  0.5000
Sb  0.0000  0.0000  0.0000

Values from the calculation:
- E_form (uncorrected) (eV per atom) = -1.37
- space group = P4/mmm
- E_tot (eV per atom) = -4.05

***

Record 3
## CaSbBr2 (GGA-PBEsol)

Data for a relaxed CaSbBr2 crystal.

a = 3.8556 Å, b = 3.8556 Å, c = 7.1425 Å
α = 90.00°, β = 90.00°, γ = 90.00°
Positions (direct):
Ca  0.0000  0.0000  0.4426
Br  0.0000  0.0000  0.0102
Sb  0.5000  0.5000  0.7390
Br  0.5000  0.5000  0.3082

Values from the calculation:
- E_form (uncorrected) (eV per atom) = -0.86
- space group = P4mm
- E_tot (eV per atom) = -3.47